## A
{
  "formula": "HW",
  "functional": "PBE",
  "state": "optimized geometry",
  "lattice_angstrom": [[0.0000, 2.1218, 2.1218], [2.1218, 0.0000, 2.1218], [2.1218, 2.1218, 0.0000]],
  "species": ["H", "W"],
  "fractional_positions": [[0.0000, 0.0000, 0.0000], [0.7500, 0.7500, 0.7500]],
  "sg": "F-43m, No. 216"
}



## B
{
  "formula": "HW",
  "functional": "PBE",
  "state": "optimized geometry",
  "lattice_angstrom": [[5.1617, 0.0000, 0.0000], [0.0000, 5.1617, 0.0000], [0.0000, 0.0000, 5.1617]],
  "species": ["H", "H", "H", "H", "H", "H", "W", "W", "W", "W", "W", "W"],
  "fractional_positions": [[0.0000, 0.2500, 0.5000], [0.0000, 0.7500, 0.5000], [0.2500, 0.5000, 0.0000], [0.5000, 0.0000, 0.2500], [0.5000, 0.0000, 0.7500], [0.7500, 0.5000, 0.0000], [0.0000, 0.5000, 0.2500], [0.0000, 0.5000, 0.7500], [0.2500, 0.0000, 0.5000], [0.5000, 0.2500, 0.0000], [0.5000, 0.7500, 0.0000], [0.7500, 0.0000, 0.5000]],
  "sg": "Pm-3n, No. 223"
}



## C
{
  "formula": "HW",
  "functional": "PBE",
  "state": "optimized geometry",
  "lattice_angstrom": [[7.5632, 0.0000, 0.0000], [-3.7816, 6.5499, 0.0000], [0.0000, 0.0000, 2.6781]],
  "species": ["H", "H", "H", "H", "H", "H", "W", "W", "W", "W", "W", "W"],
  "fractional_positions": [[0.1833, 0.5018, 0.2500], [0.3185, 0.8167, 0.2500], [0.4982, 0.6815, 0.2500], [0.5018, 0.3185, 0.7500], [0.6815, 0.1833, 0.7500], [0.8167, 0.4982, 0.7500], [0.0092, 0.6760, 0.2500], [0.3240, 0.3332, 0.2500], [0.3332, 0.0092, 0.7500], [0.6668, 0.9908, 0.2500], [0.6760, 0.6668, 0.7500], [0.9908, 0.3240, 0.7500]],
  "sg": "P6_3/m, No. 176"
}



## D
{
  "formula": "HW",
  "functional": "PBE",
  "state": "optimized geometry",
  "lattice_angstrom": [[-1.4758, 4.4456, 2.1012], [1.4758, -4.4456, 2.1012], [1.4758, 4.4456, -2.1012]],
  "species": ["H", "H", "H", "W", "W", "W"],
  "fractional_positions": [[0.0000, 0.0000, 0.0000], [0.5471, 0.7264, 0.8206], [0.9058, 0.7264, 0.1794], [0.0852, 0.2556, 0.8296], [0.4259, 0.2556, 0.1704], [0.7156, 0.2156, 0.5000]],
  "sg": "Imm2, No. 44"
}



Which one sits at the top of the stability order? D does.



## A
{
  "formula": "H5W",
  "functional": "PBE",
  "state": "optimized geometry",
  "lattice_angstrom": [[6.0374, 0.0000, 0.0000], [0.0000, 2.8666, 0.0000], [0.0000, 0.0000, 4.3339]],
  "species": ["H", "H", "H", "H", "H", "H", "H", "H", "H", "H", "W", "W"],
  "fractional_positions": [[0.0750, 0.0000, 0.2265], [0.1061, 0.5000, 0.7013], [0.2500, 0.5000, 0.1547], [0.3939, 0.5000, 0.7013], [0.4250, 0.0000, 0.2265], [0.5750, 0.0000, 0.7735], [0.6061, 0.5000, 0.2987], [0.7500, 0.5000, 0.8453], [0.8939, 0.5000, 0.2987], [0.9250, 0.0000, 0.7735], [0.2500, 0.0000, 0.8932], [0.7500, 0.0000, 0.1068]],
  "sg": "Pmma, No. 51"
}



## B
{
  "formula": "H5W",
  "functional": "PBE",
  "state": "optimized geometry",
  "lattice_angstrom": [[1.4316, -4.7559, 0.0000], [1.4316, 4.7559, 0.0000], [0.0000, 0.0000, 2.8832]],
  "species": ["H", "H", "H", "H", "H", "W"],
  "fractional_positions": [[0.0000, 0.0000, 0.0000], [0.1306, 0.8694, 0.5000], [0.3696, 0.6304, 0.0000], [0.6304, 0.3696, 0.0000], [0.8694, 0.1306, 0.5000], [0.5000, 0.5000, 0.5000]],
  "sg": "Cmmm, No. 65"
}



Which one sits at the top of the stability order? B does.



## A
{
  "formula": "H2W",
  "functional": "PBE",
  "state": "optimized geometry",
  "lattice_angstrom": [[-1.4683, 1.4683, 2.4171], [1.4683, -1.4683, 2.4171], [1.4683, 1.4683, -2.4171]],
  "species": ["H", "H", "W"],
  "fractional_positions": [[0.1321, 0.1321, 0.0000], [0.8679, 0.8679, 0.0000], [0.5000, 0.5000, 0.0000]],
  "sg": "I4/mmm, No. 139"
}



## B
{
  "formula": "H2W",
  "functional": "PBE",
  "state": "optimized geometry",
  "lattice_angstrom": [[5.0128, 0.0000, 0.0000], [0.0000, 3.1074, 0.0000], [0.0000, 0.0000, 5.3755]],
  "species": ["H", "H", "H", "H", "H", "H", "H", "H", "W", "W", "W", "W"],
  "fractional_positions": [[0.0281, 0.2500, 0.1653], [0.1135, 0.7500, 0.4216], [0.3865, 0.2500, 0.9216], [0.4719, 0.7500, 0.6653], [0.5281, 0.2500, 0.3347], [0.6135, 0.7500, 0.0784], [0.8865, 0.2500, 0.5784], [0.9719, 0.7500, 0.8347], [0.2315, 0.7500, 0.0843], [0.2685, 0.2500, 0.5843], [0.7315, 0.7500, 0.4157], [0.7685, 0.2500, 0.9157]],
  "sg": "Pnma, No. 62"
}



Which one sits at the top of the stability order? B does.



## A
{
  "formula": "YH2W",
  "functional": "PBE",
  "state": "optimized geometry",
  "lattice_angstrom": [[0.0000, 2.9108, 2.9108], [2.9108, 0.0000, 2.9108], [2.9108, 2.9108, 0.0000]],
  "species": ["Y", "H", "H", "W"],
  "fractional_positions": [[0.0000, 0.0000, 0.0000], [0.2500, 0.2500, 0.2500], [0.7500, 0.7500, 0.7500], [0.5000, 0.5000, 0.5000]],
  "sg": "Fm-3m, No. 225"
}



## B
{
  "formula": "YH2W",
  "functional": "PBE",
  "state": "optimized geometry",
  "lattice_angstrom": [[-2.5625, 2.5625, 3.6178], [2.5625, -2.5625, 3.6178], [2.5625, 2.5625, -3.6178]],
  "species": ["Y", "Y", "H", "H", "H", "H", "W", "W"],
  "fractional_positions": [[0.0000, 0.0000, 0.0000], [0.7500, 0.2500, 0.5000], [0.1794, 0.6250, 0.0544], [0.3750, 0.4294, 0.5544], [0.5706, 0.1250, 0.9456], [0.8750, 0.8206, 0.4456], [0.2500, 0.7500, 0.5000], [0.5000, 0.5000, 0.0000]],
  "sg": "I-42d, No. 122"
}



Which one sits at the top of the stability order? B does.